Record 1
A geometry-optimized AcPm2In structure, computed with PBE-GGA.

Unit cell a=5.0543 b=5.1036 c=5.1036 alpha=90.00 beta=90.00 gamma=90.00
Closest atoms and distances in Å follow each position.
Fractional coordinates of all 4 atoms:
Ac 0.5000 0.0000 0.0000  8 Pm 3.59, 4 In 3.61
In 0.5000 0.5000 0.5000  8 Pm 3.59, 4 Ac 3.61
Pm 0.0000 0.0000 0.5000  4 In 3.59, 4 Ac 3.59, 4 Pm 3.61
Pm 0.0000 0.5000 0.0000  4 Ac 3.59, 4 In 3.59, 4 Pm 3.61

Record 2
A geometry-optimized AcPmIn structure, computed with PBE-GGA.

Unit cell a=5.6649 b=6.8973 c=6.8973 alpha=101.88 beta=90.00 gamma=90.00
Closest atoms and distances in Å follow each position.
Fractional coordinates of all 6 atoms:
Pm 0.0000 0.0000 0.0000  2 In 2.92
Pm 0.5000 0.5000 0.5000  4 In 3.17, 2 Ac 3.47
In 0.0000 0.6639 0.6639  1 In 2.85, 3 Pm 2.92-3.17
In 0.0000 0.3361 0.3361  1 In 2.85, 3 Pm 2.92-3.17
Ac 0.5000 0.1764 0.8236  3 Pm 3.40-3.47, 1 Ac 3.78
Ac 0.5000 0.8236 0.1764  3 Pm 3.40-3.47, 1 Ac 3.78

Record 3
A geometry-optimized AcPm9In2 structure, computed with PBE-GGA.

Unit cell a=5.0175 b=5.0175 c=15.4343 alpha=90.00 beta=90.00 gamma=90.00
Closest atoms and distances in Å follow each position.
Fractional coordinates of all 12 atoms:
Ac 0.0000 0.0000 0.0000  12 Pm 3.55-3.74
Pm 0.5000 0.5000 0.0000  4 Ac 3.55, 8 Pm 3.74
Pm 0.5000 0.5000 0.3426  8 Pm 3.49-3.55, 4 In 3.55
Pm 0.5000 0.5000 0.6574  8 Pm 3.49-3.55, 4 In 3.55
Pm 0.5000 0.0000 0.1797  2 In 3.52, 8 Pm 3.55-3.74, 2 Ac 3.74
Pm 0.5000 0.0000 0.5000  8 Pm 3.49-3.55, 4 In 3.52
Pm 0.5000 0.0000 0.8203  2 In 3.52, 8 Pm 3.55-3.74, 2 Ac 3.74
Pm 0.0000 0.5000 0.1797  2 In 3.52, 8 Pm 3.55-3.74, 2 Ac 3.74
Pm 0.0000 0.5000 0.5000  8 Pm 3.49-3.55, 4 In 3.52
Pm 0.0000 0.5000 0.8203  2 In 3.52, 8 Pm 3.55-3.74, 2 Ac 3.74
In 0.0000 0.0000 0.3399  12 Pm 3.52-3.55
In 0.0000 0.0000 0.6601  12 Pm 3.52-3.55

Record 4
A geometry-optimized AcPm2In structure, computed with PBE-GGA.

Unit cell a=3.6915 b=3.6915 c=12.4206 alpha=81.45 beta=81.45 gamma=60.00
Closest atoms and distances in Å follow each position.
Fractional coordinates of all 4 atoms:
Ac 0.0000 0.0000 0.0000  2 Pm 3.65, 6 Ac 3.69
In 0.5000 0.5000 0.5000  6 Pm 3.26
Pm 0.0994 0.0994 0.7019  3 In 3.26, 1 Ac 3.65
Pm 0.9006 0.9006 0.2981  3 In 3.26, 1 Ac 3.65

Record 5
A geometry-optimized Ac3PmIn structure, computed with PBE-GGA.

Unit cell a=5.2539 b=5.2512 c=13.8143 alpha=90.00 beta=79.04 gamma=90.00
Closest atoms and distances in Å follow each position.
Fractional coordinates of all 10 atoms:
Ac 0.7687 0.2500 0.1110  8 Ac 3.71-4.05, 2 Pm 3.73, 2 In 3.74
Ac 0.3822 0.2500 0.8839  2 Pm 3.68, 2 In 3.69, 8 Ac 3.71-4.10
Ac 0.5739 0.2500 0.5006  4 In 3.70-3.71, 4 Pm 3.71-3.72, 4 Ac 3.71
Ac 0.2661 0.7500 0.1161  2 Pm 3.68, 2 In 3.69, 8 Ac 3.71-4.10
Ac 0.8797 0.7500 0.8890  8 Ac 3.71-4.05, 2 Pm 3.73, 2 In 3.74
Ac 0.0745 0.7500 0.4994  4 In 3.70-3.71, 4 Pm 3.71-3.72, 4 Ac 3.71
Pm 0.4774 0.7500 0.6936  8 Ac 3.68-3.73, 4 In 3.71
Pm 0.1710 0.2500 0.3064  8 Ac 3.68-3.73, 4 In 3.71
In 0.6706 0.7500 0.3072  8 Ac 3.69-3.74, 4 Pm 3.71
In 0.9778 0.2500 0.6928  8 Ac 3.69-3.74, 4 Pm 3.71

Record 6
A geometry-optimized AcPmIn4 structure, computed with PBE-GGA.

Unit cell a=5.0782 b=5.0782 c=7.7281 alpha=90.00 beta=90.00 gamma=120.00
Closest atoms and distances in Å follow each position.
Fractional coordinates of all 6 atoms:
Ac 0.0000 0.0000 0.5000  12 In 3.60, 2 Pm 3.86
Pm 0.0000 0.0000 0.0000  12 In 3.43
In 0.3333 0.6667 0.2301  3 In 2.93
In 0.3333 0.6667 0.7699  3 In 2.93
In 0.6667 0.3333 0.2301  3 In 2.93
In 0.6667 0.3333 0.7699  3 In 2.93

Record 7
A geometry-optimized Ac6PmIn2 structure, computed with PBE-GGA.

Unit cell a=4.0533 b=7.3564 c=12.8841 alpha=73.42 beta=80.95 gamma=74.01
Closest atoms and distances in Å follow each position.
Fractional coordinates of all 9 atoms:
Ac 0.6744 0.5307 0.1204  2 In 3.52, 5 Ac 3.72-3.90, 2 Pm 3.86
Ac 0.3256 0.4693 0.8796  2 In 3.52, 5 Ac 3.72-3.90, 2 Pm 3.86
Ac 0.3092 0.7845 0.5971  2 In 3.70, 10 Ac 3.72-4.05
Ac 0.9703 0.7263 0.3330  2 In 3.53, 3 Ac 3.78-3.90
Ac 0.0297 0.2737 0.6670  2 In 3.53, 3 Ac 3.78-3.90
Ac 0.6908 0.2155 0.4029  2 In 3.70, 10 Ac 3.72-4.05
Pm 0.0000 0.0000 0.0000  4 In 3.31
In 0.3547 0.1091 0.1814  2 Pm 3.31, 6 Ac 3.52-3.70
In 0.6453 0.8909 0.8186  2 Pm 3.31, 6 Ac 3.52-3.70

Record 8
A geometry-optimized AcPm3In2 structure, computed with PBE-GGA.

Unit cell a=3.7284 b=3.7284 c=13.7368 alpha=90.00 beta=90.00 gamma=90.00
Closest atoms and distances in Å follow each position.
Fractional coordinates of all 6 atoms:
Ac 0.5000 0.5000 0.5000  4 Ac 3.73, 8 Pm 3.79
Pm 0.0000 0.0000 0.0000  8 In 3.37, 4 Pm 3.73
Pm 0.0000 0.0000 0.6986  4 In 3.33, 4 Pm 3.73
Pm 0.0000 0.0000 0.3014  4 In 3.33, 4 Pm 3.73
In 0.5000 0.5000 0.8468  8 Pm 3.33-3.37, 4 In 3.73
In 0.5000 0.5000 0.1532  8 Pm 3.33-3.37, 4 In 3.73

Record 9
A geometry-optimized AcPmIn2 structure, computed with PBE-GGA.

Unit cell a=3.9829 b=3.9829 c=7.9217 alpha=90.00 beta=90.00 gamma=90.00
Closest atoms and distances in Å follow each position.
Fractional coordinates of all 4 atoms:
Ac 0.5000 0.5000 0.5000  8 In 3.55, 2 Pm 3.96
In 0.0000 0.0000 0.7731  4 Pm 3.34, 4 Ac 3.55, 1 In 3.59
In 0.0000 0.0000 0.2269  4 Pm 3.34, 4 Ac 3.55, 1 In 3.59
Pm 0.5000 0.5000 0.0000  8 In 3.34

Record 10
A geometry-optimized AcPm4In structure, computed with PBE-GGA.

Unit cell a=5.5885 b=7.0558 c=6.8064 alpha=98.83 beta=65.76 gamma=66.67
Closest atoms and distances in Å follow each position.
Fractional coordinates of all 6 atoms:
Ac 0.5000 0.5000 0.5000  2 In 3.54, 6 Pm 3.67-3.83
Pm 0.6478 0.7071 0.9972  2 In 3.37, 4 Pm 3.53-3.75
Pm 0.3522 0.2929 0.0028  2 In 3.37, 4 Pm 3.53-3.75
Pm 0.1352 0.1616 0.5680  1 In 3.23, 3 Pm 3.40-3.53
Pm 0.8648 0.8384 0.4320  1 In 3.23, 3 Pm 3.40-3.53
In 0.0000 0.0000 0.0000  6 Pm 3.23-3.37, 2 Ac 3.54

Record 11
A geometry-optimized AcPm2In structure, computed with PBE-GGA.

Unit cell a=5.3853 b=5.3853 c=6.6359 alpha=66.06 beta=66.06 gamma=60.00
Closest atoms and distances in Å follow each position.
Fractional coordinates of all 4 atoms:
Ac 0.4906 0.4906 0.5282  4 In 3.56-3.87, 7 Pm 3.71-3.81
Pm 0.0419 0.0419 0.8743  3 In 3.12
Pm 0.2742 0.2742 0.1773  3 In 3.46, 3 Pm 3.58, 4 Ac 3.73-3.81
In 0.6932 0.6932 0.9203  6 Pm 3.12-3.46

Record 12
A geometry-optimized AcPm2In structure, computed with PBE-GGA.

Unit cell a=3.7810 b=3.7810 c=9.3867 alpha=90.00 beta=90.00 gamma=90.00
Closest atoms and distances in Å follow each position.
Fractional coordinates of all 4 atoms:
Ac 0.5000 0.5000 0.5000  8 Pm 3.77, 4 Ac 3.78
In 0.5000 0.5000 0.0000  8 Pm 3.36
Pm 0.0000 0.0000 0.7839  4 In 3.36
Pm 0.0000 0.0000 0.2161  4 In 3.36

Record 13
A geometry-optimized Ac8PmIn2 structure, computed with PBE-GGA.

Unit cell a=9.0718 b=8.2569 c=8.2569 alpha=53.29 beta=107.41 gamma=107.41
Closest atoms and distances in Å follow each position.
Fractional coordinates of all 11 atoms:
Ac 0.2764 0.1575 0.6528  2 In 3.37-3.46, 2 Ac 3.67-3.74, 1 Pm 3.75
Ac 0.2764 0.6528 0.1575  2 In 3.37-3.46, 2 Ac 3.67-3.74, 1 Pm 3.75
Ac 0.7236 0.8425 0.3472  2 In 3.37-3.46, 2 Ac 3.67-3.74, 1 Pm 3.75
Ac 0.1648 0.6279 0.6279  1 In 3.44
Ac 0.7236 0.3472 0.8425  2 In 3.37-3.46, 2 Ac 3.67-3.74, 1 Pm 3.75
Ac 0.4037 0.1816 0.1816  1 In 3.44, 1 Pm 3.75
Ac 0.5963 0.8184 0.8184  1 In 3.44, 1 Pm 3.75
Ac 0.8352 0.3721 0.3721  1 In 3.44
Pm 0.0000 0.0000 0.0000  2 In 3.11
In 0.0493 0.2191 0.2191  1 Pm 3.11, 6 Ac 3.37-3.46
In 0.9507 0.7809 0.7809  1 Pm 3.11, 6 Ac 3.37-3.46

| no. | VASP energy (eV/atom) | DFT formation energy (meV/atom) |
| --- | --- | --- |
| 1 | -4.30 | -217 |
| 2 | -3.37 | 496 |
| 3 | -4.52 | -156 |
| 4 | -4.05 | 36 |
| 5 | -4.09 | -123 |
| 6 | -3.75 | -449 |
| 7 | -4.05 | -173 |
| 8 | -4.28 | -311 |
| 9 | -4.04 | -456 |
| 10 | -4.42 | -112 |
| 11 | -4.11 | -26 |
| 12 | -4.31 | -227 |
| 13 | -3.95 | -34 |